1.
The following is a PBE calculation of a geometry-optimized ThZr2In structure, from the Alexandria database.

## Properties
Distance to the lowest polymorph of the same formula (meV per atom): 113
DFT formation energy (eV per atom): -0.0489
DFT total energy (eV per cell): -27.5

Lattice parameters (Å, degrees): 5.172 5.172 5.172 60.00 60.00 60.00
Atoms (fractional coordinates):
Zr  0.250  0.250  0.250
Zr  0.750  0.750  0.750
Th  0.000  0.000  0.000
In  0.500  0.500  0.500


2.
The following is a PBE calculation of a geometry-optimized ThZrIn2 structure, from the Alexandria database.

## Properties
Distance to the lowest polymorph of the same formula (meV per atom): 0
DFT formation energy (eV per atom): -0.2696
DFT total energy (eV per cell): -22.5

Lattice parameters (Å, degrees): 3.360 3.360 8.917 90.00 90.00 90.00
Atoms (fractional coordinates):
Zr  0.500  0.500  0.000
Th  0.500  0.500  0.500
In  0.000  0.000  0.772
In  0.000  0.000  0.228


3.
The following is a PBE calculation of a geometry-optimized ThZr4In2 structure, from the Alexandria database.

## Properties
DFT formation energy (eV per atom): -0.0264
DFT total energy (eV per cell): -94.5

Lattice parameters (Å, degrees): 8.699 8.701 8.700 136.70 128.05 69.87
Atoms (fractional coordinates):
Th  0.916  0.543  0.372
Th  0.079  0.207  0.871
Zr  0.898  0.115  0.286
Zr  0.423  0.635  0.284
Zr  0.898  0.611  0.783
Zr  0.782  0.993  0.789
Zr  0.239  0.020  0.218
Zr  0.423  0.139  0.788
Zr  0.448  0.729  0.719
Zr  0.046  0.758  0.289
In  0.650  0.375  0.775
In  0.649  0.875  0.274
In  0.521  0.247  0.275
In  0.278  0.503  0.775


Which value of DFT formation energy does entry 3 give? -0.0264 eV per atom


Which value of DFT formation energy does entry 2 give? -0.2696 eV per atom


Repeat the second record exactly.
The following is a PBE calculation of a geometry-optimized ThZrIn2 structure, from the Alexandria database.

## Properties
Distance to the lowest polymorph of the same formula (meV per atom): 0
DFT formation energy (eV per atom): -0.2696
DFT total energy (eV per cell): -22.5

Lattice parameters (Å, degrees): 3.360 3.360 8.917 90.00 90.00 90.00
Atoms (fractional coordinates):
Zr  0.500  0.500  0.000
Th  0.500  0.500  0.500
In  0.000  0.000  0.772
In  0.000  0.000  0.228


Look up the DFT total energy of the third one. -94.5 eV per cell